Here is Co2MoW after structural relaxation from Alexandria via LeMat-Bulk. Energies are from GGA-PBE.

Results
ΔE to the lowest computed polymorph = 12 meV/atom
Energy relative to the elements = 0.0407 eV/atom
E_tot = -9.458 eV per atom

Unit cell a=2.6545 b=3.7153 c=5.3156 alpha=90.00 beta=90.23 gamma=90.00
Last column: nearest neighbours and their distance in Å.
Space group P2/m (No. 10)
Inequivalent atoms, fractional coordinates:
1 Co 0.0001 0.0000 0.2501 x2  4 W 2.64, 4 Mo 2.64, 4 Co 2.65-2.66
2 Mo 0.5000 0.5000 0.0000 x1  8 Co 2.64, 2 Mo 2.65, 2 W 2.66
3 W 0.5000 0.5000 0.5000 x1  8 Co 2.64, 2 W 2.65, 2 Mo 2.66